Entry from Alexandria: a geometry-optimized Zr4PaTc structure (PBE).

N(E_F), states/eV/atom: 1.2334
Symmetry: C2/m
V, Å³ per atom: 21.62
Formation energy from the elements, meV/atom: -82

Geometry as extended XYZ:
```
12
Lattice="10.472 0.000 0.000 0.000 4.994 0.000 -3.269 0.000 4.962" Properties=species:S:1:pos:R:3 pbc="T T T"
Zr 0.652 0.000 1.486
Zr -0.733 0.000 4.112
Zr 2.701 2.497 0.850
Zr 1.315 2.497 3.476
Zr 5.888 2.497 1.486
Zr 4.503 2.497 4.112
Zr 7.937 0.000 0.850
Zr 6.551 0.000 3.476
Pa -1.634 2.497 2.481
Pa 3.602 0.000 2.481
Tc 0.000 2.497 0.000
Tc 5.236 0.000 0.000
```